This record from Alexandria describes a relaxed structure of Rb6TlSb2. The functional is PBE.

density of states at the Fermi level = 6.38 states/eV/f.u.
space group = R-3m (166)
VASP energy = -0.076 hartree per atom
formation energy from raw total energies = -0.2350 eV/atom

```
data_Rb6TlSb2
_symmetry_space_group_name_H-M 'P 1'
_symmetry_Int_Tables_number 1
_cell_length_a 6.321
_cell_length_b 6.321
_cell_length_c 13.403
_cell_angle_alpha 76.36
_cell_angle_beta 76.36
_cell_angle_gamma 60.00
loop_
_symmetry_equiv_pos_as_xyz
'x,y,z'
loop_
_atom_site_label
_atom_site_type_symbol
_atom_site_fract_x
_atom_site_fract_y
_atom_site_fract_z
Tl1 Tl 0.000 0.000 0.000
Rb1 Rb 0.579 0.579 0.264
Rb2 Rb 0.191 0.191 0.427
Rb3 Rb 0.292 0.292 0.123
Rb4 Rb 0.421 0.421 0.736
Rb5 Rb 0.708 0.708 0.877
Sb1 Sb 0.092 0.092 0.724
Rb6 Rb 0.809 0.809 0.573
Sb2 Sb 0.908 0.908 0.276
```

This record from Alexandria describes a relaxed structure of RbTl7Sb2. The functional is PBE.

density of states at the Fermi level = 3.86 states/eV/f.u.
space group = Cmmm (65)
VASP energy = -0.092 hartree per atom
formation energy from raw total energies = 0.0662 eV/atom

```
data_RbTl7Sb2
_symmetry_space_group_name_H-M 'P 1'
_symmetry_Int_Tables_number 1
_cell_length_a 5.223
_cell_length_b 9.815
_cell_length_c 9.815
_cell_angle_alpha 122.50
_cell_angle_beta 90.00
_cell_angle_gamma 90.00
loop_
_symmetry_equiv_pos_as_xyz
'x,y,z'
loop_
_atom_site_label
_atom_site_type_symbol
_atom_site_fract_x
_atom_site_fract_y
_atom_site_fract_z
Tl1 Tl 0.500 0.945 0.669
Tl2 Tl 0.500 0.500 0.500
Tl3 Tl 0.000 0.213 0.787
Tl4 Tl 0.000 0.787 0.213
Rb1 Rb 0.000 0.000 0.000
Tl5 Tl 0.500 0.669 0.945
Sb1 Sb 0.500 0.306 0.694
Sb2 Sb 0.500 0.694 0.306
Tl6 Tl 0.500 0.055 0.331
Tl7 Tl 0.500 0.331 0.055
```

This record from Alexandria describes a relaxed structure of Rb2Tl5Sb. The functional is PBE.

density of states at the Fermi level = 5.02 states/eV/f.u.
space group = P4/mmm (123)
VASP energy = -0.081 hartree per atom
formation energy from raw total energies = 0.0212 eV/atom
E above lowest polymorph = 0.112 eV per atom

```
data_Rb2Tl5Sb
_symmetry_space_group_name_H-M 'P 1'
_symmetry_Int_Tables_number 1
_cell_length_a 6.181
_cell_length_b 7.639
_cell_length_c 7.639
_cell_angle_alpha 90.00
_cell_angle_beta 90.00
_cell_angle_gamma 90.00
loop_
_symmetry_equiv_pos_as_xyz
'x,y,z'
loop_
_atom_site_label
_atom_site_type_symbol
_atom_site_fract_x
_atom_site_fract_y
_atom_site_fract_z
Tl1 Tl 0.000 0.287 0.713
Sb1 Sb 0.000 0.000 0.000
Rb1 Rb 0.500 0.000 0.500
Tl2 Tl 0.500 0.000 0.000
Rb2 Rb 0.500 0.500 0.000
Tl3 Tl 0.000 0.713 0.713
Tl4 Tl 0.000 0.287 0.287
Tl5 Tl 0.000 0.713 0.287
```